First-principles (PBE-GGA) data for a relaxed YNb2TeAs crystal, as listed in the Alexandria database.

Its volume is 26.00 Å³ per atom. The raw formation energy comes out at 0.445 eV per atom. The total moment comes out at 0.00 Bohr magnetons per cell. The calculated density comes out at 6.10 g/cm³.

The space group is P4/mmm (No. 123) and the conventional cell measures 4.807, 4.807 and 5.626 Å, with angles of 90.00, 90.00 and 90.00 degrees. The asymmetric unit holds Y at (0.000, 0.000, 0.000), Nb at (0.000, 0.500, 0.500), Te at (0.500, 0.500, 0.000) and As at (0.500, 0.500, 0.500).


First-principles (PBE-GGA) data for a relaxed Cs2In3SnHg12 crystal, as listed in the Alexandria database.

Its volume is 33.18 Å³ per atom. The total moment comes out at 0.00 Bohr magnetons per cell. Its formation energy is -1.07 kcal/mol of atoms. The calculated density comes out at 8.72 g/cm³.

The space group is R-3m (No. 166, hexagonal axes) and the conventional cell measures 7.9551, 7.9551 and 32.6886 Å, with angles of 90.00, 90.00 and 120.00 degrees. The asymmetric unit holds Cs at (0.0000, 0.0000, 0.1528), In at (0.0000, 0.5000, 0.0000), Sn at (0.0000, 0.0000, 0.5000), Hg at (0.0523, 0.5262, 0.0945) and Hg at (0.0786, 0.5393, 0.6185).